# 1
## Tb4Al12Ag (PBE)

Data for a geometry-optimized Tb4Al12Ag structure.

Computed properties:
E_form, eV/atom: -0.43
ρ, g/cm3: 5.3
Crystal system: cubic
Calculated volume, Å³/atom: 19.51

a = 8.7213 Å, b = 8.7213 Å, c = 8.7213 Å
α = 90.00°, β = 90.00°, γ = 90.00°
With the nearest neighbours (Å) after each atom.
Space group Im-3m (No. 229)
Asymmetric unit:
Tb1 0.2500 0.2500 0.2500 (multiplicity 8)  12 Al 3.08-3.12
Al1 0.0000 0.0000 0.3020 (multiplicity 12)  1 Ag 2.63, 4 Al 2.78
Al2 0.0000 0.2500 0.5000 (multiplicity 12)  8 Al 2.78-3.08, 4 Tb 3.08
Ag1 0.0000 0.0000 0.0000 (multiplicity 2)  6 Al 2.63


# 2
## Cr3Rh (PBE)

Data for a geometry-optimized Cr3Rh structure.

Computed properties:
E_form, eV/atom: 0.05
ρ, g/cm3: 8.6
Crystal system: cubic
Calculated volume, Å³/atom: 12.43

a = 4.6334 Å, b = 4.6334 Å, c = 4.6334 Å
α = 90.00°, β = 90.00°, γ = 90.00°
With the nearest neighbours (Å) after each atom.
Space group Pm-3n (No. 223)
Asymmetric unit:
Cr1 0.0000 0.2500 0.5000 (multiplicity 6)  2 Cr 2.32, 4 Rh 2.59
Rh1 0.0000 0.0000 0.0000 (multiplicity 2)  12 Cr 2.59


# 3
## NiGePdPt (PBE)

Data for a geometry-optimized NiGePdPt structure.

Computed properties:
E_form, eV/atom: -0.25
ρ, g/cm3: 12.7
Crystal system: cubic
Calculated volume, Å³/atom: 14.19

a = 6.1010 Å, b = 6.1010 Å, c = 6.1010 Å
α = 90.00°, β = 90.00°, γ = 90.00°
With the nearest neighbours (Å) after each atom.
Space group F-43m (No. 216)
Asymmetric unit:
Ni1 0.0000 0.0000 0.0000 (multiplicity 4)  4 Pd 2.64, 4 Pt 2.64
Ge1 0.0000 0.0000 0.5000 (multiplicity 4)  4 Pt 2.64, 4 Pd 2.64
Pd1 0.2500 0.2500 0.2500 (multiplicity 4)  4 Ge 2.64, 4 Ni 2.64
Pt1 0.2500 0.2500 0.7500 (multiplicity 4)  4 Ge 2.64, 4 Ni 2.64


Q: Which formula does entry 2 have?
A: Cr3Rh


What did the third record say?
## NiGePdPt (PBE)

Data for a geometry-optimized NiGePdPt structure.

Computed properties:
E_form, eV/atom: -0.25
ρ, g/cm3: 12.7
Crystal system: cubic
Calculated volume, Å³/atom: 14.19

a = 6.1010 Å, b = 6.1010 Å, c = 6.1010 Å
α = 90.00°, β = 90.00°, γ = 90.00°
With the nearest neighbours (Å) after each atom.
Space group F-43m (No. 216)
Asymmetric unit:
Ni1 0.0000 0.0000 0.0000 (multiplicity 4)  4 Pd 2.64, 4 Pt 2.64
Ge1 0.0000 0.0000 0.5000 (multiplicity 4)  4 Pt 2.64, 4 Pd 2.64
Pd1 0.2500 0.2500 0.2500 (multiplicity 4)  4 Ge 2.64, 4 Ni 2.64
Pt1 0.2500 0.2500 0.7500 (multiplicity 4)  4 Ge 2.64, 4 Ni 2.64


Q: Which of these has the lowest E_form?
A: Tb4Al12Ag